1.
Density functional theory data (PBE+U) for TlAg2MoF8 after structural relaxation.

a b c (Å): 5.282 5.282 8.593
angles (deg): 90.00 90.00 120.00
Element x y z (fractional)
Tl 0.000 0.000 0.000
Ag 0.333 0.667 0.217
Ag 0.667 0.333 0.783
Mo 0.000 0.000 0.500
F 0.166 0.332 0.639
F 0.166 0.834 0.639
F 0.332 0.166 0.361
F 0.333 0.667 0.969
F 0.667 0.333 0.031
F 0.668 0.834 0.639
F 0.834 0.166 0.361
F 0.834 0.668 0.361

ρ in g cm⁻³: 5.344
Total DFT energy (no corrections) in eV per atom: -4.18

=====

2.
Density functional theory data (PBE+U) for TlAgMoF6 after structural relaxation.

a b c (Å): 5.176 5.778 5.901
angles (deg): 112.30 95.64 91.65
Element x y z (fractional)
Tl 0.000 0.000 0.000
Ag 0.026 0.299 0.700
Mo 0.502 0.648 0.367
F 0.246 0.652 0.076
F 0.260 0.395 0.403
F 0.331 0.922 0.610
F 0.671 0.387 0.120
F 0.742 0.918 0.351
F 0.750 0.612 0.645

ρ in g cm⁻³: 5.349
Total DFT energy (no corrections) in eV per atom: -4.68